*one*
The following is a DFT calculation (meta-GGA SCAN) of TaMnCl2 at its PBEsol-relaxed geometry.

The structure in POSCAR format:
```
TaMnCl2
1.0
2.9647 0.0000 0.0000
0.0000 2.9647 0.0000
0.0000 0.0000 8.0580
Cl Mn Ta
2 1 1
Direct
0.0000 0.0000 0.9415
0.5000 0.5000 0.3185
0.0000 0.0000 0.5012
0.5000 0.5000 0.7389
```

Results
DOS at the Fermi energy, states/eV/cell: 1.3
Calculated volume, Å³ per atom: 17.71

*two*
The following is a DFT calculation (meta-GGA SCAN) of TaMnCl2 at its PBEsol-relaxed geometry.

The structure in POSCAR format:
```
TaMnCl2
1.0
3.0510 0.0000 0.0000
0.0000 4.3286 0.0000
-1.5255 -2.1643 6.5310
Cl Mn Ta
2 1 1
Direct
0.8492 0.8492 0.6984
0.1508 0.1508 0.3016
0.0000 0.5000 0.0000
0.5000 0.0000 0.0000
```

Results
DOS at the Fermi energy, states/eV/cell: 1.7
Calculated volume, Å³ per atom: 21.56

Name the least stable of them. *two*.

*one*
The following is a DFT calculation (meta-GGA SCAN) of TaMnCl2 at its PBEsol-relaxed geometry.

The structure in POSCAR format:
```
TaMnCl2
1.0
4.3233 0.0000 0.0000
2.1616 3.7441 0.0000
2.1616 1.2480 3.5299
Cl Mn Ta
2 1 1
Direct
0.2500 0.2500 0.2500
0.7500 0.7500 0.7500
0.0000 0.0000 0.0000
0.5000 0.5000 0.5000
```

Results
DOS at the Fermi energy, states/eV/cell: 3.6
Calculated volume, Å³ per atom: 14.28

*two*
The following is a DFT calculation (meta-GGA SCAN) of TaMnCl2 at its PBEsol-relaxed geometry.

The structure in POSCAR format:
```
TaMnCl2
1.0
3.0154 0.0000 0.0000
0.0000 4.4411 0.0000
0.0000 0.0000 4.4411
Cl Mn Ta
2 1 1
Direct
0.0000 0.0000 0.5000
0.0000 0.5000 0.0000
0.5000 0.5000 0.5000
0.5000 0.0000 0.0000
```

Results
DOS at the Fermi energy, states/eV/cell: 3.5
Calculated volume, Å³ per atom: 14.87

*three*
The following is a DFT calculation (meta-GGA SCAN) of TaMnCl2 at its PBEsol-relaxed geometry.

The structure in POSCAR format:
```
TaMnCl2
1.0
-1.4405 1.8471 1.9284
-2.9425 -4.0927 -0.1133
4.3496 -0.9812 2.3537
Cl Mn Ta
2 1 1
Direct
0.0000 0.5000 0.0000
0.0000 0.0000 0.5000
0.0000 0.0000 0.0000
0.0000 0.5000 0.5000
```

Results
DOS at the Fermi energy, states/eV/cell: 1.4
Calculated volume, Å³ per atom: 16.45

*four*
The following is a DFT calculation (meta-GGA SCAN) of TaMnCl2 at its PBEsol-relaxed geometry.

The structure in POSCAR format:
```
TaMnCl2
1.0
4.5096 0.0000 0.0000
2.2548 3.9054 0.0000
2.2548 1.3018 3.6821
Cl Mn Ta
2 1 1
Direct
0.0000 0.0000 0.0000
0.7500 0.7500 0.7500
0.5000 0.5000 0.5000
0.2500 0.2500 0.2500
```

Results
DOS at the Fermi energy, states/eV/cell: 2.2
Calculated volume, Å³ per atom: 16.21

Name the least stable of them. *four*.

*one*
The following is a DFT calculation (meta-GGA SCAN) of MnTe2Cl at its PBEsol-relaxed geometry.

The structure in POSCAR format:
```
MnTe2Cl
1.0
3.6511 0.0000 0.0000
0.0000 6.7093 -1.9533
0.0000 -3.7233 5.9155
Te Mn Cl
2 1 1
Direct
0.0000 0.1319 0.8678
0.5000 0.6837 0.3162
0.5000 0.2843 0.7159
0.0000 0.4001 0.6001
```

Results
DOS at the Fermi energy, states/eV/cell: 1.3
Calculated volume, Å³ per atom: 29.59

*two*
The following is a DFT calculation (meta-GGA SCAN) of MnTe2Cl at its PBEsol-relaxed geometry.

The structure in POSCAR format:
```
MnTe2Cl
1.0
3.7383 0.0000 0.0000
1.8692 3.2375 0.0000
1.8692 1.0792 7.6084
Te Mn Cl
2 1 1
Direct
0.2682 0.2682 0.1955
0.7318 0.7318 0.8046
0.0000 0.0000 0.0000
0.5000 0.5000 0.5000
```

Results
DOS at the Fermi energy, states/eV/cell: 1.4
Calculated volume, Å³ per atom: 23.02

Name the least stable of them. *two*.

*one*
The following is a DFT calculation (meta-GGA SCAN) of MnTlCl2 at its PBEsol-relaxed geometry.

The structure in POSCAR format:
```
MnTlCl2
1.0
-2.1596 -2.4781 -0.1455
-0.0497 -0.2214 5.2503
-3.9424 3.4735 0.0993
Tl Mn Cl
1 1 2
Direct
0.5000 0.0000 0.0000
0.5000 0.5000 0.5000
0.0000 0.0000 0.5000
0.0000 0.5000 0.0000
```

Results
DOS at the Fermi energy, states/eV/cell: 1.3
Calculated volume, Å³ per atom: 22.72

*two*
The following is a DFT calculation (meta-GGA SCAN) of MnTlCl2 at its PBEsol-relaxed geometry.

The structure in POSCAR format:
```
MnTlCl2
1.0
-0.7727 -2.9406 -2.7146
1.2990 -2.7993 2.6626
-5.4198 2.3790 2.0257
Tl Mn Cl
1 1 2
Direct
0.2500 0.7500 0.5000
0.5000 0.5000 0.0000
0.0000 0.0000 0.0000
0.7500 0.2500 0.5000
```

Results
DOS at the Fermi energy, states/eV/cell: 2.1
Calculated volume, Å³ per atom: 23.06

Name the least stable of them. *two*.

*one*
The following is a DFT calculation (meta-GGA SCAN) of MnTlCl3 at its PBEsol-relaxed geometry.

The structure in POSCAR format:
```
MnTlCl3
1.0
-1.2604 -4.4718 -1.6842
1.8874 -2.0661 4.0732
-4.3899 0.3956 2.2348
Tl Mn Cl
1 1 3
Direct
0.5000 0.5000 0.5000
0.0000 0.0000 0.0000
0.0000 0.5000 0.0000
0.0000 0.0000 0.5000
0.5000 0.0000 0.0000
```

Results
DOS at the Fermi energy, states/eV/cell: 0.0
Calculated volume, Å³ per atom: 24.14

*two*
The following is a DFT calculation (meta-GGA SCAN) of MnTlCl3 at its PBEsol-relaxed geometry.

The structure in POSCAR format:
```
MnTlCl3
1.0
-3.4756 6.0512 -0.1189
-4.3313 -2.3928 4.8291
5.9508 3.5575 7.1001
Mn Tl Cl
4 4 12
Direct
0.0000 0.5000 0.5000
0.5000 0.0000 0.0000
0.5000 0.0000 0.5000
0.0000 0.5000 0.0000
0.9592 0.0088 0.7500
0.4592 0.4912 0.7500
0.5408 0.5088 0.2500
0.0408 0.9912 0.2500
0.2867 0.7130 0.4756
0.7867 0.7870 0.0244
0.2133 0.2130 0.5244
0.7133 0.2870 0.9756
0.7133 0.2870 0.5244
0.2133 0.2130 0.9756
0.7867 0.7870 0.4756
0.2867 0.7130 0.0244
0.4988 0.0491 0.2500
0.9988 0.4509 0.2500
0.0012 0.5491 0.7500
0.5012 0.9509 0.7500
```

Results
DOS at the Fermi energy, states/eV/cell: 0.0
Calculated volume, Å³ per atom: 23.94

Name the least stable of them. *one*.

*one*
The following is a DFT calculation (meta-GGA SCAN) of YMn2Cl at its PBEsol-relaxed geometry.

The structure in POSCAR format:
```
YMn2Cl
1.0
3.7732 0.0000 0.0000
0.0000 3.7732 0.0000
-1.8866 -1.8866 5.2191
Y Mn Cl
1 2 1
Direct
0.5000 0.5000 0.0000
0.7500 0.2500 0.5000
0.2500 0.7500 0.5000
0.0000 0.0000 0.0000
```

Results
DOS at the Fermi energy, states/eV/cell: 4.2
Calculated volume, Å³ per atom: 18.58

*two*
The following is a DFT calculation (meta-GGA SCAN) of YMn2Cl at its PBEsol-relaxed geometry.

The structure in POSCAR format:
```
YMn2Cl
1.0
4.7423 0.0000 0.0000
2.3712 4.1070 0.0000
2.3712 1.3690 3.8721
Y Mn Cl
1 2 1
Direct
0.5000 0.5000 0.5000
0.7500 0.7500 0.7500
0.2500 0.2500 0.2500
0.0000 0.0000 0.0000
```

Results
DOS at the Fermi energy, states/eV/cell: 3.0
Calculated volume, Å³ per atom: 18.85

Name the least stable of them. *two*.

*one*
The following is a DFT calculation (meta-GGA SCAN) of Mn2ZnCl at its PBEsol-relaxed geometry.

The structure in POSCAR format:
```
Mn2ZnCl
1.0
4.3453 0.0000 0.0000
2.1726 3.7631 0.0000
2.1726 1.2544 3.5479
Zn Mn Cl
1 2 1
Direct
0.5000 0.5000 0.5000
0.2500 0.2500 0.2500
0.7500 0.7500 0.7500
0.0000 0.0000 0.0000
```

Results
DOS at the Fermi energy, states/eV/cell: 1.7
Calculated volume, Å³ per atom: 14.50

*two*
The following is a DFT calculation (meta-GGA SCAN) of Mn2ZnCl at its PBEsol-relaxed geometry.

The structure in POSCAR format:
```
Mn2ZnCl
1.0
-0.2897 2.6574 -1.0344
-1.3003 -1.7165 -4.0455
-4.3702 0.0604 1.3790
Zn Mn Cl
1 2 1
Direct
0.5000 0.5000 0.5000
0.0000 0.0000 0.5000
0.0000 0.5000 0.0000
0.5000 0.0000 0.0000
```

Results
DOS at the Fermi energy, states/eV/cell: 2.5
Calculated volume, Å³ per atom: 15.05

Name the least stable of them. *one*.

*one*
The following is a DFT calculation (meta-GGA SCAN) of Mn2ZnCl at its PBEsol-relaxed geometry.

The structure in POSCAR format:
```
Mn2ZnCl
1.0
4.3836 0.0000 0.0000
2.1918 3.7963 0.0000
2.1918 1.2654 3.5792
Zn Mn Cl
1 2 1
Direct
0.2500 0.2500 0.2500
0.0000 0.0000 0.0000
0.7500 0.7500 0.7500
0.5000 0.5000 0.5000
```

Results
DOS at the Fermi energy, states/eV/cell: 2.1
Calculated volume, Å³ per atom: 14.89

*two*
The following is a DFT calculation (meta-GGA SCAN) of Mn2ZnCl at its PBEsol-relaxed geometry.

The structure in POSCAR format:
```
Mn2ZnCl
1.0
3.0042 0.0007 -0.0009
1.5027 2.6014 -0.0009
1.4999 0.8660 7.7157
Zn Mn Cl
1 2 1
Direct
0.5000 0.5000 0.5000
0.2505 0.2505 0.2484
0.7494 0.7494 0.7515
0.0000 0.0000 0.0000
```

Results
DOS at the Fermi energy, states/eV/cell: 1.7
Calculated volume, Å³ per atom: 15.07

Name the least stable of them. *one*.

*one*
The following is a DFT calculation (meta-GGA SCAN) of MnZn2Cl at its PBEsol-relaxed geometry.

The structure in POSCAR format:
```
MnZn2Cl
1.0
4.7115 0.0000 0.0000
2.3558 4.0803 0.0000
2.3558 1.3601 3.8470
Zn Mn Cl
2 1 1
Direct
0.2500 0.2500 0.2500
0.7500 0.7500 0.7500
0.5000 0.5000 0.5000
0.0000 0.0000 0.0000
```

Results
DOS at the Fermi energy, states/eV/cell: 1.7
Calculated volume, Å³ per atom: 18.49

*two*
The following is a DFT calculation (meta-GGA SCAN) of MnZn2Cl at its PBEsol-relaxed geometry.

The structure in POSCAR format:
```
MnZn2Cl
1.0
3.8365 0.0000 0.0000
0.0000 3.8365 0.0000
-1.9183 -1.9183 4.3661
Zn Mn Cl
2 1 1
Direct
0.0000 0.0000 0.0000
0.7500 0.2500 0.5000
0.2500 0.7500 0.5000
0.5000 0.5000 0.0000
```

Results
DOS at the Fermi energy, states/eV/cell: 1.0
Calculated volume, Å³ per atom: 16.07

*three*
The following is a DFT calculation (meta-GGA SCAN) of MnZn2Cl at its PBEsol-relaxed geometry.

The structure in POSCAR format:
```
MnZn2Cl
1.0
-2.1372 1.8423 0.5291
-2.6992 -3.1637 0.1129
3.1988 0.0370 5.0036
Zn Mn Cl
2 1 1
Direct
0.7806 0.7794 0.5612
0.2194 0.2206 0.4388
0.5000 0.0000 0.0000
0.0000 0.5000 0.0000
```

Results
DOS at the Fermi energy, states/eV/cell: 1.6
Calculated volume, Å³ per atom: 16.17

Name the least stable of them. *one*.

*one*
The following is a DFT calculation (meta-GGA SCAN) of ZrMn2Cl at its PBEsol-relaxed geometry.

The structure in POSCAR format:
```
ZrMn2Cl
1.0
-1.9538 2.0547 0.9483
-0.3515 -1.5132 2.5544
6.0055 4.1849 3.3055
Mn Zr Cl
2 1 1
Direct
0.0000 0.0000 0.0986
0.5000 0.5000 0.2347
0.0000 0.0000 0.4789
0.5000 0.5000 0.6878
```

Results
DOS at the Fermi energy, states/eV/cell: 1.4
Calculated volume, Å³ per atom: 17.95

*two*
The following is a DFT calculation (meta-GGA SCAN) of ZrMn2Cl at its PBEsol-relaxed geometry.

The structure in POSCAR format:
```
ZrMn2Cl
1.0
3.0566 0.0000 0.0000
0.0000 5.0330 0.0109
0.0000 -2.4347 4.4049
Mn Zr Cl
2 1 1
Direct
0.0000 0.5000 0.0000
0.0000 0.0000 0.5000
0.5000 0.0000 0.0000
0.5000 0.5000 0.5000
```

Results
DOS at the Fermi energy, states/eV/cell: 3.0
Calculated volume, Å³ per atom: 16.96

Name the least stable of them. *two*.

*one*
The following is a DFT calculation (meta-GGA SCAN) of ZrMn2Cl at its PBEsol-relaxed geometry.

The structure in POSCAR format:
```
ZrMn2Cl
1.0
-1.3145 -3.9004 1.6752
2.9665 -2.7256 1.8756
-0.0327 -0.6313 4.3986
Mn Zr Cl
2 1 1
Direct
0.2500 0.2500 0.2500
0.7500 0.7500 0.7500
0.5000 0.5000 0.5000
0.0000 0.0000 0.0000
```

Results
DOS at the Fermi energy, states/eV/cell: 4.2
Calculated volume, Å³ per atom: 15.51

*two*
The following is a DFT calculation (meta-GGA SCAN) of ZrMn2Cl at its PBEsol-relaxed geometry.

The structure in POSCAR format:
```
ZrMn2Cl
1.0
-1.9844 -0.6146 -2.0789
0.6228 -4.4348 0.7168
-2.6299 2.2587 3.9200
Mn Zr Cl
2 1 1
Direct
0.2370 0.2407 0.4739
0.7630 0.7593 0.5261
0.0000 0.5000 0.0000
0.5000 0.0000 0.0000
```

Results
DOS at the Fermi energy, states/eV/cell: 2.6
Calculated volume, Å³ per atom: 15.42

Name the least stable of them. *one*.

*one*
The following is a DFT calculation (meta-GGA SCAN) of MoCl5 at its PBEsol-relaxed geometry.

The structure in POSCAR format:
```
MoCl5
1.0
9.2992 0.0000 0.0344
0.0000 11.5074 0.0000
-4.1092 0.0000 11.4735
Cl Mo
40 8
Direct
0.0940 0.0137 0.1596
0.9060 0.5137 0.3404
0.9060 0.9863 0.8404
0.0940 0.4863 0.6596
0.8998 0.2413 0.0392
0.1002 0.7413 0.4608
0.1002 0.7587 0.9608
0.8998 0.2587 0.5392
0.9000 0.0087 0.3371
0.1000 0.5087 0.1629
0.1000 0.9913 0.6629
0.9000 0.4913 0.8371
0.7094 0.0049 0.0572
0.2906 0.5049 0.4428
0.2906 0.9951 0.9428
0.7094 0.4951 0.5572
0.7095 0.2436 0.2223
0.2905 0.7436 0.2777
0.2905 0.7564 0.7777
0.7095 0.2564 0.7223
0.0942 0.2355 0.3148
0.9058 0.7355 0.1852
0.9058 0.7645 0.6852
0.0942 0.2645 0.8148
0.2895 0.2408 0.1402
0.7105 0.7408 0.3598
0.7105 0.7592 0.8598
0.2895 0.2592 0.6402
0.2832 0.0067 0.4352
0.7168 0.5067 0.0648
0.7168 0.9933 0.5648
0.2832 0.4933 0.9352
0.4800 0.0043 0.2553
0.5200 0.5043 0.2447
0.5200 0.9957 0.7447
0.4800 0.4957 0.7553
0.4805 0.2404 0.4208
0.5195 0.7404 0.0792
0.5195 0.7596 0.5792
0.4805 0.2596 0.9208
0.8750 0.1248 0.1816
0.1250 0.6248 0.3184
0.1250 0.8752 0.8184
0.8750 0.3752 0.6816
0.3130 0.1233 0.2946
0.6870 0.6233 0.2054
0.6870 0.8767 0.7054
0.3130 0.3767 0.7946
```

Results
DOS at the Fermi energy, states/eV/cell: 17.0
Calculated volume, Å³ per atom: 25.61

*two*
The following is a DFT calculation (meta-GGA SCAN) of MoCl5 at its PBEsol-relaxed geometry.

The structure in POSCAR format:
```
MoCl5
1.0
-0.6441 -1.2470 -2.5101
4.8715 -5.6864 1.5747
-7.3254 -0.5337 2.1449
Mo Cl
1 5
Direct
0.5000 0.0000 0.0000
0.0000 0.2423 0.2423
0.0000 0.7577 0.0000
0.0000 0.0000 0.7577
0.5000 0.3333 0.6667
0.5000 0.6667 0.3333
```

Results
DOS at the Fermi energy, states/eV/cell: 1.6
Calculated volume, Å³ per atom: 24.30

Name the least stable of them. *two*.